Density functional theory data (GGA+U) for a geometry-optimized AlNi2IO6 structure.

## Properties
Raw total energy (eV/atom): -4.791

abc: 5.4128 5.4128 4.5706
angles: 90.00 90.00 90.00
With the nearest neighbours (Å) after each atom.
Space group P4mm (No. 99)
Inequivalent atoms, fractional coordinates:
Al  0.0000  0.0000  0.0000 (multiplicity 1)  5 O 1.73-1.92
Ni  0.0000  0.5000  0.3279 (multiplicity 2)  4 O 2.09
I  0.5000  0.5000  0.0257 (multiplicity 1)  1 O 1.82
O  0.0000  0.0000  0.6218 (multiplicity 1)  1 Al 1.73
O  0.2353  0.2353  0.1462 (multiplicity 4)  1 Al 1.92, 2 Ni 2.09, 1 I 2.10
O  0.5000  0.5000  0.6268 (multiplicity 1)  1 I 1.82